The following is a DFT calculation (PBE) of CuP2Pt after structural relaxation.

Lattice parameters (Å, degrees): 4.816 4.816 4.816 134.08 134.08 66.97
Fractional coordinates of all 4 atoms:
Cu: 0.000 0.000 0.000
P: 0.250 0.750 0.500
P: 0.500 0.500 0.000
Pt: 0.750 0.250 0.500

Summary:
M_tot   0.00 μB/f.u.
Offset from the most stable computed form   0.3202 eV/atom
E_form   0.21 eV per atom

=====

The following is a DFT calculation (PBE) of CuPPt after structural relaxation.

Lattice parameters (Å, degrees): 3.983 3.983 3.983 60.00 60.00 60.00
Fractional coordinates of all 3 atoms:
Cu: 0.000 0.000 0.000
P: 0.750 0.750 0.750
Pt: 0.500 0.500 0.500

Summary:
M_tot   0.00 μB/f.u.
Offset from the most stable computed form   0.0000 eV/atom
E_form   -0.18 eV per atom

=====

The following is a DFT calculation (PBE) of CuP2Pt after structural relaxation.

Lattice parameters (Å, degrees): 4.896 4.813 3.811 68.03 65.75 46.22
Fractional coordinates of all 4 atoms:
Cu: 0.000 0.000 0.000
P: 0.000 0.500 0.500
P: 0.500 0.000 0.000
Pt: 0.500 0.500 0.500

Summary:
M_tot   0.00 μB/f.u.
Offset from the most stable computed form   0.1563 eV/atom
E_form   0.05 eV per atom

=====

The following is a DFT calculation (PBE) of CuP2Pt after structural relaxation.

Lattice parameters (Å, degrees): 6.537 6.537 6.537 132.59 132.59 69.30
Fractional coordinates of all 8 atoms:
Cu: 0.000 0.000 0.000
Cu: 0.750 0.250 0.500
P: 0.122 0.625 0.997
P: 0.375 0.372 0.497
P: 0.628 0.125 0.003
P: 0.875 0.878 0.503
Pt: 0.250 0.750 0.500
Pt: 0.500 0.500 0.000

Summary:
M_tot   0.00 μB/f.u.
Offset from the most stable computed form   0.0435 eV/atom
E_form   -0.06 eV per atom

=====

The following is a DFT calculation (PBE) of CuPPt after structural relaxation.

Lattice parameters (Å, degrees): 3.004 3.004 5.548 90.00 90.00 120.00
Fractional coordinates of all 3 atoms:
Cu: 0.000 0.000 0.000
P: 0.667 0.333 0.317
Pt: 0.333 0.667 0.621

Summary:
M_tot   0.00 μB/f.u.
Offset from the most stable computed form   0.1350 eV/atom
E_form   -0.04 eV per atom

=====

The following is a DFT calculation (PBE) of CuP2Pt after structural relaxation.

Lattice parameters (Å, degrees): 5.837 5.837 3.676 90.32 90.32 29.76
Fractional coordinates of all 4 atoms:
Cu: 0.000 0.000 0.000
P: 0.533 0.533 0.501
P: 0.729 0.729 0.504
Pt: 0.277 0.277 0.005

Summary:
M_tot   0.00 μB/f.u.
Offset from the most stable computed form   0.0540 eV/atom
E_form   -0.05 eV per atom

=====

The following is a DFT calculation (PBE) of CuP2Pt after structural relaxation.

Lattice parameters (Å, degrees): 3.442 3.442 5.161 90.00 90.00 90.00
Fractional coordinates of all 4 atoms:
Cu: 0.000 0.000 0.000
P: 0.000 0.000 0.454
P: 0.500 0.500 0.011
Pt: 0.500 0.500 0.540

Summary:
M_tot   0.00 μB/f.u.
Offset from the most stable computed form   0.1355 eV/atom
E_form   0.03 eV per atom

=====

The following is a DFT calculation (PBE) of CuPPt3 after structural relaxation.

Lattice parameters (Å, degrees): 4.475 4.475 4.475 90.00 90.00 90.00
Fractional coordinates of all 5 atoms:
Cu: 0.000 0.000 0.000
P: 0.500 0.500 0.500
Pt: 0.000 0.500 0.500
Pt: 0.500 0.000 0.500
Pt: 0.500 0.500 0.000

Summary:
M_tot   0.00 μB/f.u.
Offset from the most stable computed form   0.4185 eV/atom
E_form   0.23 eV per atom

=====

The following is a DFT calculation (PBE) of CuP2Pt after structural relaxation.

Lattice parameters (Å, degrees): 4.055 3.882 4.155 90.00 94.06 90.00
Fractional coordinates of all 4 atoms:
Cu: 0.000 0.000 0.000
P: 0.331 0.500 0.188
P: 0.669 0.500 0.812
Pt: 0.500 0.000 0.500

Summary:
M_tot   0.00 μB/f.u.
Offset from the most stable computed form   0.0000 eV/atom
E_form   -0.11 eV per atom

=====

The following is a DFT calculation (PBE) of CuP2Pt after structural relaxation.

Lattice parameters (Å, degrees): 3.538 3.538 5.981 106.55 106.55 60.16
Fractional coordinates of all 4 atoms:
Cu: 0.000 0.000 0.000
P: 0.244 0.244 0.745
P: 0.756 0.756 0.255
Pt: 0.500 0.500 0.500

Summary:
M_tot   0.00 μB/f.u.
Offset from the most stable computed form   0.0846 eV/atom
E_form   -0.02 eV per atom

=====

The following is a DFT calculation (PBE) of CuP2Pt after structural relaxation.

Lattice parameters (Å, degrees): 3.032 3.032 7.142 90.00 90.00 90.00
Fractional coordinates of all 4 atoms:
Cu: 0.000 0.000 0.000
P: 0.000 0.000 0.567
P: 0.500 0.500 0.152
Pt: 0.500 0.500 0.737

Summary:
M_tot   0.00 μB/f.u.
Offset from the most stable computed form   0.2263 eV/atom
E_form   0.12 eV per atom

=====

The following is a DFT calculation (PBE) of CuPPt after structural relaxation.

Lattice parameters (Å, degrees): 4.141 4.141 2.880 90.00 90.00 120.00
Fractional coordinates of all 3 atoms:
Cu: 0.000 0.000 0.000
P: 0.667 0.333 0.500
Pt: 0.333 0.667 0.500

Summary:
M_tot   0.00 μB/f.u.
Offset from the most stable computed form   0.0862 eV/atom
E_form   -0.09 eV per atom

=====

> Which formula does entry 7 have?

CuP2Pt

=====

> Which value of offset from the most stable computed form does entry 9 give?

0.0000 eV/atom